(1)
# Ac2As3Pd4Au (PBE, optimized geometry)
data_Ac2As3Pd4Au
_chemical_formula_sum 'Ac2 As3 Pd4 Au1'
_cell_length_a 4.521
_cell_length_b 4.521
_cell_length_c 10.369
_cell_angle_alpha 90.00
_cell_angle_beta 90.00
_cell_angle_gamma 90.00
_symmetry_space_group_name_H-M 'P 1'
_symmetry_Int_Tables_number 1
_symmetry_space_group_name_Hall 'P 1'
loop_
_atom_site_label
_atom_site_type_symbol
_atom_site_fract_x
_atom_site_fract_y
_atom_site_fract_z
_atom_site_occupancy
Pd1 Pd 0.000 0.000 0.000 1
Pd2 Pd 0.000 0.500 0.363 1
Pd3 Pd 0.500 0.500 0.000 1
Pd4 Pd 0.500 0.000 0.637 1
Ac1 Ac 0.000 0.500 0.752 1
Ac2 Ac 0.500 0.000 0.248 1
Au1 Au 0.500 0.500 0.500 1
As1 As 0.000 0.500 0.125 1
As2 As 0.500 0.000 0.875 1
As3 As 0.000 0.000 0.500 1
# space group: P-4m2, No. 115
# crystal system: tetragonal
# E_form: -0.841 eV/atom

(2)
# AcPmAsAu (PBE, optimized geometry)
data_AcPmAsAu
_chemical_formula_sum 'Ac1 Pm1 As1 Au1'
_cell_length_a 5.360
_cell_length_b 5.360
_cell_length_c 5.360
_cell_angle_alpha 60.00
_cell_angle_beta 60.00
_cell_angle_gamma 60.00
_symmetry_space_group_name_H-M 'P 1'
_symmetry_Int_Tables_number 1
_symmetry_space_group_name_Hall 'P 1'
loop_
_atom_site_label
_atom_site_type_symbol
_atom_site_fract_x
_atom_site_fract_y
_atom_site_fract_z
_atom_site_occupancy
Ac1 Ac 0.250 0.250 0.250 1
Au1 Au 0.500 0.500 0.500 1
As1 As 0.000 0.000 0.000 1
Pm1 Pm 0.750 0.750 0.750 1
# space group: F-43m, No. 216
# crystal system: cubic
# E_form: -0.845 eV/atom

(3)
# Ac2As3Pt4Au (PBE, optimized geometry)
data_Ac2As3Pt4Au
_chemical_formula_sum 'Ac2 As3 Pt4 Au1'
_cell_length_a 4.543
_cell_length_b 4.543
_cell_length_c 10.351
_cell_angle_alpha 90.00
_cell_angle_beta 90.00
_cell_angle_gamma 90.00
_symmetry_space_group_name_H-M 'P 1'
_symmetry_Int_Tables_number 1
_symmetry_space_group_name_Hall 'P 1'
loop_
_atom_site_label
_atom_site_type_symbol
_atom_site_fract_x
_atom_site_fract_y
_atom_site_fract_z
_atom_site_occupancy
Pt1 Pt 0.500 0.500 0.000 1
Pt2 Pt 0.000 0.000 0.000 1
Pt3 Pt 0.500 0.000 0.640 1
Pt4 Pt 0.000 0.500 0.360 1
Au1 Au 0.500 0.500 0.500 1
Ac1 Ac 0.500 0.000 0.249 1
Ac2 Ac 0.000 0.500 0.751 1
As1 As 0.000 0.500 0.122 1
As2 As 0.500 0.000 0.878 1
As3 As 0.000 0.000 0.500 1
# space group: P-4m2, No. 115
# crystal system: tetragonal
# E_form: -0.836 eV/atom

(4)
# AcPu2As4Au (PBE, optimized geometry)
data_AcPu2As4Au
_chemical_formula_sum 'Ac2 Pu4 As8 Au2'
_cell_length_a 4.239
_cell_length_b 7.259
_cell_length_c 14.036
_cell_angle_alpha 90.00
_cell_angle_beta 90.00
_cell_angle_gamma 106.98
_symmetry_space_group_name_H-M 'P 1'
_symmetry_Int_Tables_number 1
_symmetry_space_group_name_Hall 'P 1'
loop_
_atom_site_label
_atom_site_type_symbol
_atom_site_fract_x
_atom_site_fract_y
_atom_site_fract_z
_atom_site_occupancy
As1 As 0.268 0.536 0.110 1
As2 As 0.456 0.912 0.750 1
As3 As 0.732 0.464 0.610 1
As4 As 0.732 0.464 0.890 1
As5 As 0.000 0.000 0.000 1
As6 As 0.000 0.000 0.500 1
As7 As 0.544 0.088 0.250 1
As8 As 0.268 0.536 0.390 1
Pu1 Pu 0.371 0.742 0.562 1
Pu2 Pu 0.371 0.742 0.938 1
Pu3 Pu 0.629 0.258 0.438 1
Pu4 Pu 0.629 0.258 0.062 1
Au1 Au 0.852 0.704 0.750 1
Au2 Au 0.148 0.296 0.250 1
Ac1 Ac 0.880 0.760 0.250 1
Ac2 Ac 0.120 0.240 0.750 1
# space group: Cmcm, No. 63
# crystal system: orthorhombic
# E_form: -0.841 eV/atom

(5)
# RbAcAsAu (PBE, optimized geometry)
data_RbAcAsAu
_chemical_formula_sum 'Rb1 Ac1 As1 Au1'
_cell_length_a 5.548
_cell_length_b 5.548
_cell_length_c 5.548
_cell_angle_alpha 60.00
_cell_angle_beta 60.00
_cell_angle_gamma 60.00
_symmetry_space_group_name_H-M 'P 1'
_symmetry_Int_Tables_number 1
_symmetry_space_group_name_Hall 'P 1'
loop_
_atom_site_label
_atom_site_type_symbol
_atom_site_fract_x
_atom_site_fract_y
_atom_site_fract_z
_atom_site_occupancy
Rb1 Rb 0.250 0.250 0.250 1
As1 As 0.500 0.500 0.500 1
Au1 Au 0.000 0.000 0.000 1
Ac1 Ac 0.750 0.750 0.750 1
# space group: F-43m, No. 216
# crystal system: cubic
# E_form: -0.639 eV/atom

(6)
# Ac2As3Rh4Au (PBE, optimized geometry)
data_Ac2As3Rh4Au
_chemical_formula_sum 'Ac2 As3 Rh4 Au1'
_cell_length_a 4.348
_cell_length_b 4.348
_cell_length_c 10.637
_cell_angle_alpha 90.00
_cell_angle_beta 90.00
_cell_angle_gamma 90.00
_symmetry_space_group_name_H-M 'P 1'
_symmetry_Int_Tables_number 1
_symmetry_space_group_name_Hall 'P 1'
loop_
_atom_site_label
_atom_site_type_symbol
_atom_site_fract_x
_atom_site_fract_y
_atom_site_fract_z
_atom_site_occupancy
Rh1 Rh 0.000 0.000 0.000 1
Rh2 Rh 0.000 0.500 0.353 1
Rh3 Rh 0.500 0.500 0.000 1
Rh4 Rh 0.500 0.000 0.647 1
As1 As 0.500 0.000 0.874 1
As2 As 0.000 0.000 0.500 1
As3 As 0.000 0.500 0.126 1
Ac1 Ac 0.000 0.500 0.743 1
Ac2 Ac 0.500 0.000 0.257 1
Au1 Au 0.500 0.500 0.500 1
# space group: P-4m2, No. 115
# crystal system: tetragonal
# E_form: -0.796 eV/atom

(7)
# AcAs2Rh5Au (PBE, optimized geometry)
data_AcAs2Rh5Au
_chemical_formula_sum 'Ac1 As2 Rh5 Au1'
_cell_length_a 4.121
_cell_length_b 4.121
_cell_length_c 10.736
_cell_angle_alpha 90.00
_cell_angle_beta 90.00
_cell_angle_gamma 90.00
_symmetry_space_group_name_H-M 'P 1'
_symmetry_Int_Tables_number 1
_symmetry_space_group_name_Hall 'P 1'
loop_
_atom_site_label
_atom_site_type_symbol
_atom_site_fract_x
_atom_site_fract_y
_atom_site_fract_z
_atom_site_occupancy
Rh1 Rh 0.500 0.000 0.164 1
Rh2 Rh 0.000 0.500 0.164 1
Rh3 Rh 0.000 0.500 0.836 1
Rh4 Rh 0.500 0.500 0.500 1
Rh5 Rh 0.500 0.000 0.836 1
As1 As 0.500 0.500 0.277 1
As2 As 0.500 0.500 0.723 1
Ac1 Ac 0.000 0.000 0.500 1
Au1 Au 0.000 0.000 0.000 1
# space group: P4/mmm, No. 123
# crystal system: tetragonal
# E_form: -0.300 eV/atom

(8)
# Ac3Sb2AsAu6 (PBE, optimized geometry)
data_Ac3Sb2AsAu6
_chemical_formula_sum 'Ac3 Sb2 As1 Au6'
_cell_length_a 6.433
_cell_length_b 6.433
_cell_length_c 8.908
_cell_angle_alpha 90.00
_cell_angle_beta 90.00
_cell_angle_gamma 120.00
_symmetry_space_group_name_H-M 'P 1'
_symmetry_Int_Tables_number 1
_symmetry_space_group_name_Hall 'P 1'
loop_
_atom_site_label
_atom_site_type_symbol
_atom_site_fract_x
_atom_site_fract_y
_atom_site_fract_z
_atom_site_occupancy
Au1 Au 0.178 0.822 0.291 1
Au2 Au 0.178 0.356 0.291 1
Au3 Au 0.644 0.822 0.291 1
Au4 Au 0.356 0.178 0.709 1
Au5 Au 0.822 0.178 0.709 1
Au6 Au 0.822 0.644 0.709 1
As1 As 0.000 0.000 0.500 1
Ac1 Ac 0.667 0.333 0.365 1
Ac2 Ac 0.333 0.667 0.635 1
Ac3 Ac 0.000 0.000 0.000 1
Sb1 Sb 0.667 0.333 0.966 1
Sb2 Sb 0.333 0.667 0.034 1
# space group: P-3m1, No. 164
# E_form (uncorrected): -0.534 eV/atom
# crystal system: trigonal